Material: Zr2CdSi
Method: DFT, meta-GGA SCAN
State: PBEsol geometry

Lattice parameters (Å, degrees): 5.013 5.013 5.629 100.28 100.28 34.79
Fractional positions:
Zr 0.238 0.238 0.231
Zr 0.762 0.762 0.769
Cd 0.000 0.000 0.500
Si 0.500 0.500 0.000

Output
calculated volume: 79.28 Å³ per cell
raw total energy: -25.56 eV per atom
DOS(E_F): 0.659 states/eV per atom
spin magnetization: 0.0 μB/cell